(1)
VASP calculation (PBEsol) on a geometry-optimized La2TlAg structure.

```
La2TlAg
1.0
-1.936 2.570 5.495
1.936 -2.570 5.495
1.936 2.570 -5.495
La Tl Ag
2 1 1
Cartesian
0.000 0.000 0.000
0.000 2.570 2.419
1.936 0.000 3.089
0.000 0.000 5.259
```

Formation enthalpy at 0 K in eV per atom: -0.2964
Relative energy among the computed polymorphs in meV/atom: 43
Total magnetic moment in μB/f.u.: 0.000
Uncorrected energy in eV for the cell shown: -17.8

---

(2)
VASP calculation (PBEsol) on a geometry-optimized HgMo2Ru structure.

```
HgMo2Ru
1.0
1.577 -2.261 0.000
1.577 2.261 0.000
0.000 0.000 9.003
Hg Mo Ru
1 2 1
Cartesian
0.000 0.000 0.000
0.000 0.000 4.423
1.577 0.000 6.535
1.577 0.000 2.403
```

Formation enthalpy at 0 K in eV per atom: 0.3773
Total magnetic moment in μB/f.u.: 0.219
Uncorrected energy in eV for the cell shown: -32.8

---

(3)
VASP calculation (PBEsol) on a geometry-optimized CsTl2S2 structure.

```
CsTl2S2
1.0
-2.525 2.525 6.506
2.525 -2.525 6.506
2.525 2.525 -6.506
Cs Tl S
1 2 2
Cartesian
0.000 0.000 0.000
2.525 0.000 3.253
0.000 2.525 3.253
0.000 0.000 4.566
0.000 0.000 8.447
```

Formation energy (no corrections) in eV per atom: -0.4264
Total magnetic moment in μB/f.u.: 0.000
Uncorrected energy in eV for the cell shown: -17.1

---

(4)
VASP calculation (PBEsol) on a geometry-optimized CuH4Pb2Cl2O4 structure.

```
CuH4Pb2Cl2O4
1.0
5.815 0.000 0.000
0.000 5.815 0.000
0.000 0.000 5.447
Cu H Pb Cl O
1 4 2 2 4
Cartesian
0.000 0.000 0.000
1.762 1.762 0.481
1.762 4.053 0.481
4.053 1.762 0.481
4.053 4.053 0.481
0.000 2.907 3.796
2.907 0.000 3.796
0.000 0.000 2.504
2.907 2.907 2.028
1.369 1.369 5.109
1.369 4.445 5.109
4.445 1.369 5.109
4.445 4.445 5.109
```

Total magnetic moment in μB/f.u.: 1.016
Uncorrected energy in eV for the cell shown: -63.7

---

(5)
VASP calculation (PBEsol) on a geometry-optimized Zr2TiPb3O9 structure.

```
Zr2TiPb3O9
1.0
2.874 -8.617 0.000
2.874 8.617 0.000
-0.062 0.000 4.182
Zr Ti Pb O
2 1 3 9
Cartesian
2.874 5.756 0.000
2.874 -5.756 0.000
2.890 0.000 0.094
2.656 2.703 2.320
2.656 -2.703 2.320
5.586 0.000 2.361
1.559 4.190 3.970
3.039 5.878 2.002
1.524 1.377 3.956
1.524 -1.377 3.956
2.941 0.000 1.889
1.559 -4.190 3.970
4.273 1.361 3.946
4.273 -1.361 3.946
3.039 -5.878 2.002
```

Formation energy (no corrections) in eV per atom: -2.4418
Relative energy among the computed polymorphs in meV/atom: 0
Total magnetic moment in μB/f.u.: 0.000
Uncorrected energy in eV for the cell shown: -122.4

---

(6)
VASP calculation (PBEsol) on a geometry-optimized TaTl2Os structure.

```
TaTl2Os
1.0
0.000 3.362 3.362
3.362 0.000 3.362
3.362 3.362 0.000
Ta Tl Os
1 2 1
Cartesian
0.000 0.000 0.000
1.681 1.681 1.681
3.362 3.362 3.362
5.043 5.043 5.043
```

Formation enthalpy at 0 K in eV per atom: 0.8433
Relative energy among the computed polymorphs in meV/atom: 563
Total magnetic moment in μB/f.u.: 0.000
Uncorrected energy in eV for the cell shown: -26.7

---

(7)
VASP calculation (PBEsol) on a geometry-optimized FeCu3B structure.

```
FeCu3B
1.0
4.323 0.000 0.000
0.000 4.323 0.000
0.000 0.000 4.323
Fe Cu B
1 3 1
Cartesian
0.000 0.000 0.000
0.000 0.000 2.162
0.000 2.162 0.000
2.162 0.000 0.000
2.162 2.162 2.162
```

Formation enthalpy at 0 K in eV per atom: 1.9795
Total magnetic moment in μB/f.u.: 3.011
Uncorrected energy in eV for the cell shown: -19.1

---

(8)
VASP calculation (PBEsol) on a geometry-optimized TeP2H structure.

```
TeP2H
1.0
-2.316 2.316 6.142
2.316 -2.316 6.142
2.316 2.316 -6.142
Te P H
2 4 2
Cartesian
0.000 0.000 0.000
0.000 2.316 3.071
1.158 -0.182 4.606
2.134 1.158 1.535
1.158 2.499 -1.535
0.182 1.158 7.677
2.316 0.000 3.071
0.000 0.000 6.142
```

Total magnetic moment in μB/f.u.: 0.000
Uncorrected energy in eV for the cell shown: -31.6

---

(9)
VASP calculation (PBEsol) on a geometry-optimized MnCoAu2 structure.

```
MnCoAu2
1.0
-1.927 1.927 3.862
1.927 -1.927 3.862
1.927 1.927 -3.862
Mn Co Au
1 1 2
Cartesian
0.000 0.000 0.000
0.000 1.927 1.931
1.927 0.000 1.931
0.000 0.000 3.862
```

Formation enthalpy at 0 K in eV per atom: 0.1470
Total magnetic moment in μB/f.u.: 5.017
Uncorrected energy in eV for the cell shown: -24.8

---

(10)
VASP calculation (PBEsol) on a geometry-optimized Li3Fe2Si2O8 structure.

```
Li3Fe2Si2O8
1.0
4.946 0.000 0.000
0.077 5.404 0.000
0.023 0.094 6.125
Li Fe Si O
3 2 2 8
Cartesian
0.000 0.000 0.000
0.108 5.422 3.071
2.504 3.695 6.110
2.498 0.909 1.567
4.956 2.795 4.531
2.493 0.999 4.618
4.916 2.714 1.495
0.410 3.539 2.837
0.515 3.495 0.134
0.559 1.155 1.521
0.837 1.009 4.595
2.968 0.158 5.975
3.068 2.526 4.709
3.052 0.270 3.263
3.289 2.617 1.403
```

Formation energy (no corrections) in eV per atom: -2.0868
Relative energy among the computed polymorphs in meV/atom: 5
Total magnetic moment in μB/f.u.: 9.000
Uncorrected energy in eV for the cell shown: -108.6

---

(11)
VASP calculation (PBEsol) on a geometry-optimized Y2Au structure.

```
Y2Au
1.0
0.000 4.190 4.190
4.190 0.000 4.190
4.190 4.190 0.000
Y Au
4 2
Cartesian
0.000 0.000 0.000
2.095 2.095 0.000
2.095 0.000 2.095
0.000 2.095 2.095
3.142 3.142 3.142
5.237 5.237 5.237
```

Formation enthalpy at 0 K in eV per atom: 0.3170
Total magnetic moment in μB/f.u.: 0.000
Uncorrected energy in eV for the cell shown: -33.2

---

(12)
VASP calculation (PBEsol) on a geometry-optimized BaNaH2 structure.

```
BaNaH2
1.0
0.000 3.319 3.319
3.319 0.000 3.319
3.319 3.319 0.000
Ba Na H
1 1 2
Cartesian
0.000 0.000 0.000
3.319 3.319 3.319
1.660 1.660 1.660
4.979 4.979 4.979
```

Total magnetic moment in μB/f.u.: 0.000
Uncorrected energy in eV for the cell shown: -10.9